(1)
Compound: NiAsOs4
Source: the Alexandria database
Functional: PBE
Structure: optimized geometry

Its total energy is -197.0 eV for the cell shown.

It has space group F-43m (No. 216), with a = 7.293 Å, b = 7.293 Å, c = 7.293 Å, α = 90.00°, β = 90.00° and γ = 90.00°. The asymmetric unit holds Ni at (0.000, 0.000, 0.000), As at (0.250, 0.250, 0.750) and Os at (0.125, 0.125, 0.375).

***

(2)
Compound: BeTlCl2
Source: the Alexandria database
Functional: PBE
Structure: optimized geometry

Its energy relative to the lowest polymorph listed for this composition is 811 meV/atom. Its uncorrected formation energy is 0.044 eV/atom.

It has space group P4/mmm (No. 123), with a = 5.182 Å, b = 5.182 Å, c = 3.639 Å, α = 90.00°, β = 90.00° and γ = 90.00°. The asymmetric unit holds Be at (0.000, 0.000, 0.000), Tl at (0.500, 0.500, 0.000) and Cl at (0.000, 0.500, 0.500).

***

(3)
Compound: Tb2SmAg6
Source: the Alexandria database
Functional: PBE
Structure: optimized geometry

Its total energy is -66.3 eV for the cell shown.

It has space group C2/m (No. 12), with a = 5.342 Å, b = 16.305 Å, c = 5.362 Å, α = 90.00°, β = 119.79° and γ = 90.00°. The asymmetric unit holds Tb at (0.000, 0.165, 0.000), Sm at (0.000, 0.000, 0.500), Ag at (0.163, 0.500, 0.824) and Ag at (0.164, 0.333, 0.335).

***

(4)
Compound: BeCrP
Source: the Alexandria database
Functional: PBE
Structure: optimized geometry

Its energy relative to the lowest polymorph listed for this composition is 174 meV/atom.

It has space group Cm (No. 8), with a = 9.832 Å, b = 3.025 Å, c = 4.534 Å, α = 90.00°, β = 102.85° and γ = 90.00°. The asymmetric unit holds Be at (0.000, 0.000, 0.000), Be at (0.178, 0.500, 0.324), Cr at (0.031, 0.000, 0.527), Cr at (0.328, 0.000, 0.678), P at (0.174, 0.500, 0.840) and P at (0.392, 0.000, 0.207).

***

(5)
Compound: NdCoSi
Source: the Alexandria database
Functional: PBE
Structure: optimized geometry

Its uncorrected formation energy is -0.543 eV/atom.

It has space group P-6m2 (No. 187), with a = 3.9924 Å, b = 3.9924 Å, c = 4.2484 Å, α = 90.00°, β = 90.00° and γ = 120.00°. The asymmetric unit holds Nd at (0.0000, 0.0000, 0.0000), Co at (0.6667, 0.3333, 0.5000) and Si at (0.3333, 0.6667, 0.5000).

***

(6)
Compound: Fe2Tc2Sb
Source: the Alexandria database
Functional: PBE
Structure: optimized geometry

Its energy relative to the lowest polymorph listed for this composition is 0 meV/atom. Its uncorrected formation energy is 0.356 eV/atom.

It has space group I4/mmm (No. 139), with a = 3.320 Å, b = 3.320 Å, c = 13.649 Å, α = 90.00°, β = 90.00° and γ = 90.00°. The asymmetric unit holds Fe at (0.000, 0.500, 0.250), Tc at (0.000, 0.000, 0.109) and Sb at (0.000, 0.000, 0.500).

***

(7)
Compound: InRe4W
Source: the Alexandria database
Functional: PBE
Structure: optimized geometry

Its total energy is -251.0 eV for the cell shown.

It has space group F-43m (No. 216), with a = 7.370 Å, b = 7.370 Å, c = 7.370 Å, α = 90.00°, β = 90.00° and γ = 90.00°. The asymmetric unit holds In at (0.000, 0.000, 0.000), Re at (0.126, 0.126, 0.626) and W at (0.250, 0.250, 0.250).

***

(8)
Compound: Be2RhS
Source: the Alexandria database
Functional: PBE
Structure: optimized geometry

Its uncorrected formation energy is 0.002 eV/atom.

It has space group I-42d (No. 122), with a = 5.248 Å, b = 5.248 Å, c = 8.481 Å, α = 90.00°, β = 90.00° and γ = 90.00°. The asymmetric unit holds Be at (0.225, 0.250, 0.125), Rh at (0.000, 0.000, 0.500) and S at (0.000, 0.000, 0.000).

***

(9)
Compound: MnAuSe2
Source: the Alexandria database
Functional: PBE
Structure: optimized geometry

Its uncorrected formation energy is -0.260 eV/atom.

It has space group C2 (No. 5), with a = 13.987 Å, b = 5.187 Å, c = 6.545 Å, α = 90.00°, β = 116.25° and γ = 90.00°. The asymmetric unit holds Mn at (0.000, 0.000, 0.000), Mn at (0.000, 0.000, 0.500), Au at (0.000, 0.501, 0.250), Se at (0.134, 0.148, 0.377) and Se at (0.134, 0.853, 0.877).

***

(10)
Compound: LaHg6Bi
Source: the Alexandria database
Functional: PBE
Structure: optimized geometry

Its total energy is -24.6 eV for the cell shown.

It has space group Amm2 (No. 38), with a = 5.440 Å, b = 6.633 Å, c = 12.281 Å, α = 90.00°, β = 90.00° and γ = 90.00°. The asymmetric unit holds La at (0.000, 0.000, 0.000), Hg at (0.000, 0.243, 0.747), Hg at (0.500, 0.000, 0.317), Hg at (0.500, 0.000, 0.831), Hg at (0.500, 0.246, 0.577) and Bi at (0.000, 0.000, 0.495).

***

(11)
Compound: CdCu2SnSe
Source: the Alexandria database
Functional: PBE
Structure: optimized geometry

Its uncorrected formation energy is 0.647 eV/atom.

It has space group P4/mmm (No. 123), with a = 4.851 Å, b = 4.851 Å, c = 5.349 Å, α = 90.00°, β = 90.00° and γ = 90.00°. The asymmetric unit holds Cd at (0.000, 0.000, 0.000), Cu at (0.000, 0.500, 0.000), Sn at (0.500, 0.500, 0.500) and Se at (0.000, 0.000, 0.500).

***

(12)
Compound: SrOsPt2
Source: the Alexandria database
Functional: PBE
Structure: optimized geometry

Its energy relative to the lowest polymorph listed for this composition is 420 meV/atom.

It has space group R-3m (No. 166, hexagonal axes), with a = 2.8942 Å, b = 2.8942 Å, c = 29.3618 Å, α = 90.00°, β = 90.00° and γ = 120.00°. The asymmetric unit holds Sr at (0.0000, 0.0000, 0.0000), Os at (0.0000, 0.0000, 0.5000) and Pt at (0.0000, 0.0000, 0.2412).